First-principles (PBE-GGA) data for crystalline K3AlTe3 at its relaxed geometry, as listed in Alexandria.

Energy above the most stable polymorph in this dataset: 0.000 eV/atom
Formation energy from raw total energies: -0.951 eV per atom

Cell: 9.8058 8.6395 13.5444 Å, 90.00 99.04 90.00°
Fractional positions:
1 K 0.0859 0.1724 0.1196
2 K 0.0859 0.3276 0.6196
3 K 0.3010 0.7287 0.7864
4 K 0.3010 0.7713 0.2864
5 K 0.4015 0.2370 0.9193
6 K 0.4015 0.2630 0.4193
7 K 0.5985 0.7370 0.5807
8 K 0.5985 0.7630 0.0807
9 K 0.6990 0.2287 0.7136
10 K 0.6990 0.2713 0.2136
11 K 0.9141 0.6724 0.3804
12 K 0.9141 0.8276 0.8804
13 Al 0.1726 0.5794 0.0466
14 Al 0.1726 0.9206 0.5466
15 Al 0.8274 0.0794 0.4534
16 Al 0.8274 0.4206 0.9534
17 Te 0.0679 0.0674 0.3757
18 Te 0.0679 0.4326 0.8757
19 Te 0.2475 0.6349 0.5207
20 Te 0.2475 0.8651 0.0207
21 Te 0.3697 0.0721 0.6572
22 Te 0.3697 0.4279 0.1572
23 Te 0.6303 0.5721 0.8428
24 Te 0.6303 0.9279 0.3428
25 Te 0.7525 0.1349 0.9793
26 Te 0.7525 0.3651 0.4793
27 Te 0.9321 0.5674 0.1243
28 Te 0.9321 0.9326 0.6243